Record 1
ZnAsAu | GGA-PBEsol | optimized geometry

POSCAR file:
```
ZnAsAu
1.0
2.896 0.000 0.000
0.000 2.896 0.000
-1.448 -1.448 5.994
As Au Zn
1 1 1
direct
0.992 0.992 0.984 As
0.680 0.680 0.360 Au
0.328 0.328 0.655 Zn
```

Values from the calculation:
- energy of formation (eV per atom) = 0.09

Record 2
KCd2Rh | GGA-PBEsol | optimized geometry

POSCAR file:
```
KCd2Rh
1.0
3.076 0.000 0.050
0.000 4.393 0.000
-0.125 0.000 7.562
Cd K Rh
2 1 1
direct
0.875 0.000 0.911 Cd
0.875 0.500 0.183 Cd
0.376 0.000 0.517 K
0.374 0.500 0.889 Rh
```

Values from the calculation:
- energy above the lowest structure with this stoichiometry (meV/atom) = 0
- energy of formation (eV per atom) = 0.13

Record 3
AlTcNi2 | GGA-PBEsol | optimized geometry

POSCAR file:
```
AlTcNi2
1.0
3.598 0.000 0.000
0.000 3.606 0.000
0.000 0.000 3.709
Ni Tc Al
2 1 1
direct
0.000 0.000 0.000 Ni
0.500 0.500 0.000 Ni
0.500 0.000 0.500 Tc
0.000 0.500 0.500 Al
```

Values from the calculation:
- energy of formation (eV per atom) = -0.18

Record 4
K2Ba5Si12O30 | GGA-PBEsol | optimized geometry

POSCAR file:
```
K2Ba5Si12O30
1.0
7.750 0.000 0.000
0.000 8.256 -0.019
-3.875 -0.442 11.966
K Ba Si O
2 5 12 30
direct
0.944 0.748 0.890 K
0.053 0.252 0.110 K
0.351 0.763 0.705 Ba
0.646 0.237 0.295 Ba
0.498 0.500 0.000 Ba
0.196 0.995 0.394 Ba
0.801 0.005 0.606 Ba
0.643 0.052 0.879 Si
0.234 0.052 0.879 Si
0.354 0.948 0.121 Si
0.763 0.948 0.121 Si
0.516 0.679 0.454 Si
0.934 0.678 0.454 Si
0.481 0.322 0.546 Si
0.062 0.321 0.546 Si
0.695 0.389 0.800 Si
0.101 0.389 0.799 Si
0.301 0.611 0.201 Si
0.896 0.611 0.200 Si
0.718 0.697 0.440 O
0.278 0.303 0.560 O
0.367 0.688 0.329 O
0.957 0.689 0.328 O
0.629 0.311 0.672 O
0.038 0.312 0.671 O
0.440 0.999 0.882 O
0.558 0.001 0.118 O
0.918 0.399 0.839 O
0.079 0.601 0.161 O
0.786 0.000 0.000 O
0.211 0.000 0.000 O
0.650 0.253 0.882 O
0.229 0.253 0.882 O
0.348 0.747 0.118 O
0.767 0.747 0.118 O
0.679 0.958 0.777 O
0.095 0.958 0.776 O
0.319 0.042 0.224 O
0.902 0.042 0.223 O
0.479 0.821 0.533 O
0.052 0.818 0.534 O
0.518 0.182 0.466 O
0.946 0.179 0.467 O
0.612 0.558 0.822 O
0.207 0.558 0.822 O
0.385 0.442 0.178 O
0.790 0.442 0.178 O
0.498 0.502 0.502 O
0.996 0.498 0.498 O
```

Values from the calculation:
- formation energy from raw total energies (meV/atom) = -2866

Record 5
Cu3Au5 | GGA-PBEsol | optimized geometry

POSCAR file:
```
Cu3Au5
1.0
-2.447 1.867 -2.334
0.947 -3.757 -3.999
-4.239 -2.948 2.086
Au Cu
5 3
direct
0.000 0.000 0.000 Au
0.000 0.500 0.000 Au
0.000 0.000 0.500 Au
0.500 0.730 0.730 Au
0.500 0.270 0.270 Au
0.000 0.500 0.500 Cu
0.500 0.753 0.247 Cu
0.500 0.247 0.753 Cu
```

Values from the calculation:
- energy above the lowest structure with this stoichiometry (meV/atom) = 0
- energy of formation (eV per atom) = -0.03

Record 6
CsZnF2 | GGA-PBEsol | optimized geometry

POSCAR file:
```
CsZnF2
1.0
-1.050 3.421 0.009
-3.427 0.822 -0.623
-2.917 0.957 7.024
Cs Zn F
1 1 2
direct
0.000 0.000 0.000 Cs
0.500 0.500 0.500 Zn
0.875 0.875 0.374 F
0.125 0.125 0.626 F
```

Values from the calculation:
- energy above the lowest structure with this stoichiometry (meV/atom) = 330
- formation energy from raw total energies (meV/atom) = -1519

Record 7
PWSe2 | GGA-PBEsol | optimized geometry

POSCAR file:
```
PWSe2
1.0
3.654 0.000 0.000
0.000 3.654 0.000
0.000 0.000 5.083
P Se W
1 2 1
direct
0.000 0.000 0.500 P
0.000 0.500 0.000 Se
0.500 0.000 0.000 Se
0.500 0.500 0.500 W
```

Values from the calculation:
- formation energy from raw total energies (meV/atom) = 859

Record 8
BaMg2Sb2 | GGA-PBEsol | optimized geometry

POSCAR file:
```
BaMg2Sb2
1.0
4.540 0.000 0.000
0.000 4.540 0.000
-2.270 -2.270 7.282
Sb Mg Ba
2 2 1
direct
0.372 0.372 0.744 Sb
0.628 0.628 0.256 Sb
0.250 0.750 0.500 Mg
0.750 0.250 0.500 Mg
0.000 0.000 0.000 Ba
```

Values from the calculation:
- formation energy from raw total energies (meV/atom) = -742

| no. | total DFT energy (no corrections) (eV/atom) |
| --- | --- |
| 1 | -3.443 |
| 2 | -2.789 |
| 3 | -7.094 |
| 4 | -7.753 |
| 5 | -4.111 |
| 6 | -3.114 |
| 7 | -5.966 |
| 8 | -3.681 |